1.
Material: KCoAsBr2
Method: DFT, PBE
State: optimized geometry

Values from the calculation:
E_form (uncorrected): 0.9520 eV per atom
excess energy over the best structure of this formula in the dataset: 1374.3 meV per atom

```
data_KCoAsBr2
_chemical_formula_sum 'K1 Co1 As1 Br2'
_symmetry_space_group_name_H-M 'P 4/m m m'
_symmetry_Int_Tables_number 123
_symmetry_space_group_name_Hall '-P 4 2'
_cell_length_a 6.033
_cell_length_b 6.033
_cell_length_c 6.090
_cell_angle_alpha 90.00
_cell_angle_beta 90.00
_cell_angle_gamma 90.00
loop_
_atom_site_label
_atom_site_fract_x
_atom_site_fract_y
_atom_site_fract_z
_atom_site_occupancy
K1 0.000 0.000 0.000 1
Co1 0.500 0.500 0.500 1
As1 0.000 0.000 0.500 1
Br1 0.000 0.500 0.000 1
```

2.
Material: Ac2CuS3
Method: DFT, PBE
State: optimized geometry

Values from the calculation:
E_form (uncorrected): -1.6548 eV per atom
excess energy over the best structure of this formula in the dataset: 0.0 meV per atom

```
data_Ac2CuS3
_chemical_formula_sum 'Ac4 Cu2 S6'
_symmetry_space_group_name_H-M 'I m m m'
_symmetry_Int_Tables_number 71
_symmetry_space_group_name_Hall '-I 2 2'
_cell_length_a 4.120
_cell_length_b 4.402
_cell_length_c 16.395
_cell_angle_alpha 90.00
_cell_angle_beta 90.00
_cell_angle_gamma 90.00
loop_
_atom_site_label
_atom_site_fract_x
_atom_site_fract_y
_atom_site_fract_z
_atom_site_occupancy
Ac1 0.000 0.000 0.138 1
Cu1 0.000 0.000 0.500 1
S1 0.000 0.000 0.324 1
S2 0.000 0.500 0.500 1
```

3.
Material: TmMg2Cu6
Method: DFT, PBE
State: optimized geometry

Values from the calculation:
DFT formation energy: -0.40 eV per formula unit

```
data_TmMg2Cu6
_chemical_formula_sum 'Tm2 Mg4 Cu12'
_symmetry_space_group_name_H-M 'I m m m'
_symmetry_Int_Tables_number 71
_symmetry_space_group_name_Hall '-I 2 2'
_cell_length_a 3.220
_cell_length_b 7.063
_cell_length_c 12.780
_cell_angle_alpha 90.00
_cell_angle_beta 90.00
_cell_angle_gamma 90.00
loop_
_atom_site_label
_atom_site_fract_x
_atom_site_fract_y
_atom_site_fract_z
_atom_site_occupancy
Tm1 0.000 0.000 0.000 1
Mg1 0.000 0.500 0.141 1
Cu1 0.000 0.174 0.500 1
Cu2 0.000 0.318 0.323 1
```

4.
Material: Sc3Al2
Method: DFT, PBE
State: optimized geometry

Values from the calculation:
DFT formation energy: -1.77 eV per formula unit
excess energy over the best structure of this formula in the dataset: 0.0 meV per atom

```
data_Sc3Al2
_chemical_formula_sum 'Sc12 Al8'
_symmetry_space_group_name_H-M 'P 42/m n m'
_symmetry_Int_Tables_number 136
_symmetry_space_group_name_Hall '-P 4n 2n'
_cell_length_a 7.728
_cell_length_b 7.728
_cell_length_c 7.097
_cell_angle_alpha 90.00
_cell_angle_beta 90.00
_cell_angle_gamma 90.00
loop_
_atom_site_label
_atom_site_fract_x
_atom_site_fract_y
_atom_site_fract_z
_atom_site_occupancy
Sc1 0.000 0.500 0.250 1
Sc2 0.153 0.153 0.000 1
Sc3 0.199 0.199 0.500 1
Al1 0.123 0.877 0.295 1
```

Number 1 is which compound? KCoAsBr2

Please write out number 4 again, unchanged.
Material: Sc3Al2
Method: DFT, PBE
State: optimized geometry

Values from the calculation:
DFT formation energy: -1.77 eV per formula unit
excess energy over the best structure of this formula in the dataset: 0.0 meV per atom

```
data_Sc3Al2
_chemical_formula_sum 'Sc12 Al8'
_symmetry_space_group_name_H-M 'P 42/m n m'
_symmetry_Int_Tables_number 136
_symmetry_space_group_name_Hall '-P 4n 2n'
_cell_length_a 7.728
_cell_length_b 7.728
_cell_length_c 7.097
_cell_angle_alpha 90.00
_cell_angle_beta 90.00
_cell_angle_gamma 90.00
loop_
_atom_site_label
_atom_site_fract_x
_atom_site_fract_y
_atom_site_fract_z
_atom_site_occupancy
Sc1 0.000 0.500 0.250 1
Sc2 0.153 0.153 0.000 1
Sc3 0.199 0.199 0.500 1
Al1 0.123 0.877 0.295 1
```

Which formula does entry 4 have? Sc3Al2